No. 1
The following is a DFT calculation (PBE) of an optimized crystal structure of BaCaCd2Rh.

POSCAR file:
```
BaCaCd2Rh
1.0
5.4155 0.0000 0.0000
0.0000 5.4155 0.0000
0.0000 0.0000 5.1912
Ba Ca Cd Rh
1 1 2 1
direct
0.0000 0.0000 0.0000
0.5000 0.5000 0.0000
0.0000 0.5000 0.5000
0.5000 0.0000 0.5000
0.5000 0.5000 0.5000
```

Results
D(E_F), states/eV/atom: 0.5472
Symmetry: P4/mmm
E_form, kJ per mole of atoms: -26.0
Total magnetic moment, μB/f.u.: 0.000

=====

No. 2
The following is a DFT calculation (PBE) of an optimized crystal structure of Ba2CaCdRh.

POSCAR file:
```
Ba2CaCdRh
1.0
5.9737 0.0000 0.0000
0.0000 5.9737 0.0000
0.0000 0.0000 5.4841
Ba Ca Cd Rh
2 1 1 1
direct
0.0000 0.5000 0.0000
0.5000 0.0000 0.0000
0.0000 0.0000 0.5000
0.5000 0.5000 0.5000
0.5000 0.5000 0.0000
```

Results
D(E_F), states/eV/atom: 1.0015
Symmetry: P4/mmm
E_form, kJ per mole of atoms: -6.6
Total magnetic moment, μB/f.u.: 0.000

=====

No. 3
The following is a DFT calculation (PBE) of an optimized crystal structure of BaCaCdS3.

POSCAR file:
```
BaCaCdS3
1.0
2.1149 -7.0272 0.0000
2.1149 7.0272 0.0000
0.0000 0.0000 10.7577
Ba Ca Cd S
2 2 2 6
direct
0.2461 0.7539 0.7500
0.7539 0.2461 0.2500
0.0000 0.0000 0.0000
0.0000 0.0000 0.5000
0.4764 0.5236 0.2500
0.5236 0.4764 0.7500
0.0818 0.9182 0.2500
0.3675 0.6325 0.0649
0.3675 0.6325 0.4351
0.6325 0.3675 0.5649
0.6325 0.3675 0.9351
0.9182 0.0818 0.7500
```

Results
D(E_F), states/eV/atom: 0.0000
VASP energy, eV/atom: -4.4400
Symmetry: Cmcm
Total magnetic moment, μB/f.u.: 0.000

=====

No. 4
The following is a DFT calculation (PBE) of an optimized crystal structure of BaCa2CdS.

POSCAR file:
```
BaCa2CdS
1.0
5.3995 0.0000 0.0000
0.0000 5.3995 0.0000
0.0000 0.0000 6.2021
Ba Ca Cd S
1 2 1 1
direct
0.0000 0.0000 0.0000
0.0000 0.5000 0.5000
0.5000 0.0000 0.5000
0.5000 0.5000 0.0000
0.0000 0.0000 0.5000
```

Results
D(E_F), states/eV/atom: 0.7826
VASP energy, eV/atom: -3.0062
Symmetry: P4/mmm
Total magnetic moment, μB/f.u.: 0.000